# PBEsol CrTe2F, relaxed
data_CrTe2F
_symmetry_space_group_name_H-M 'R -3 m'
_symmetry_Int_Tables_number 166
_symmetry_space_group_name_Hall '-R 3 2"'
_cell_length_a 3.1641
_cell_length_b 3.1641
_cell_length_c 28.5391
_cell_angle_alpha 90.00
_cell_angle_beta 90.00
_cell_angle_gamma 120.00
loop_
_atom_site_label
_atom_site_type_symbol
_atom_site_fract_x
_atom_site_fract_y
_atom_site_fract_z
_atom_site_occupancy
Cr1 Cr 0.0000 0.0000 0.0000 1
Te1 Te 0.0000 0.0000 0.0937 1
F1 F 0.0000 0.0000 0.5000 1
# **Electronic total energy**: -56.574 eV for the cell shown
# **Uncorrected formation energy**: 0.091 eV per atom

***

# PBEsol TiCrF2, relaxed
data_TiCrF2
_symmetry_space_group_name_H-M 'R -3 m'
_symmetry_Int_Tables_number 166
_symmetry_space_group_name_Hall '-R 3 2"'
_cell_length_a 2.9661
_cell_length_b 2.9661
_cell_length_c 22.5542
_cell_angle_alpha 90.00
_cell_angle_beta 90.00
_cell_angle_gamma 120.00
loop_
_atom_site_label
_atom_site_type_symbol
_atom_site_fract_x
_atom_site_fract_y
_atom_site_fract_z
_atom_site_occupancy
Ti1 Ti 0.0000 0.0000 0.0000 1
Cr1 Cr 0.0000 0.0000 0.5000 1
F1 F 0.0000 0.0000 0.0839 1
# **Electronic total energy**: -80.661 eV for the cell shown
# **Uncorrected formation energy**: -1.117 eV per atom

***

# PBEsol TiCrF3, relaxed
data_TiCrF3
_symmetry_space_group_name_H-M 'P m -3 m'
_symmetry_Int_Tables_number 221
_symmetry_space_group_name_Hall '-P 4 2 3'
_cell_length_a 4.0767
_cell_length_b 4.0767
_cell_length_c 4.0767
_cell_angle_alpha 90.00
_cell_angle_beta 90.00
_cell_angle_gamma 90.00
loop_
_atom_site_label
_atom_site_type_symbol
_atom_site_fract_x
_atom_site_fract_y
_atom_site_fract_z
_atom_site_occupancy
Ti1 Ti 0.0000 0.0000 0.0000 1
Cr1 Cr 0.5000 0.5000 0.5000 1
F1 F 0.0000 0.0000 0.5000 1
# **Electronic total energy**: -33.189 eV for the cell shown
# **Uncorrected formation energy**: -1.769 eV per atom

***

# PBEsol TlCr3F, relaxed
data_TlCr3F
_symmetry_space_group_name_H-M 'P m -3 m'
_symmetry_Int_Tables_number 221
_symmetry_space_group_name_Hall '-P 4 2 3'
_cell_length_a 4.3513
_cell_length_b 4.3513
_cell_length_c 4.3513
_cell_angle_alpha 90.00
_cell_angle_beta 90.00
_cell_angle_gamma 90.00
loop_
_atom_site_label
_atom_site_type_symbol
_atom_site_fract_x
_atom_site_fract_y
_atom_site_fract_z
_atom_site_occupancy
Tl1 Tl 0.0000 0.0000 0.0000 1
Cr1 Cr 0.0000 0.5000 0.5000 1
F1 F 0.5000 0.5000 0.5000 1
# **Electronic total energy**: -32.881 eV for the cell shown
# **Uncorrected formation energy**: 0.481 eV per atom

***

# PBEsol Tl2ZnCrF, relaxed
data_Tl2ZnCrF
_symmetry_space_group_name_H-M 'P 4/m m m'
_symmetry_Int_Tables_number 123
_symmetry_space_group_name_Hall '-P 4 2'
_cell_length_a 5.4660
_cell_length_b 5.4660
_cell_length_c 3.7622
_cell_angle_alpha 90.00
_cell_angle_beta 90.00
_cell_angle_gamma 90.00
loop_
_atom_site_label
_atom_site_type_symbol
_atom_site_fract_x
_atom_site_fract_y
_atom_site_fract_z
_atom_site_occupancy
Tl1 Tl 0.0000 0.5000 0.0000 1
Zn1 Zn 0.0000 0.0000 0.5000 1
Cr1 Cr 0.5000 0.5000 0.0000 1
F1 F 0.5000 0.5000 0.5000 1
# **Electronic total energy**: -19.812 eV for the cell shown
# **Uncorrected formation energy**: -0.160 eV per atom

***

# PBEsol Cr2WF, relaxed
data_Cr2WF
_symmetry_space_group_name_H-M 'F m -3 m'
_symmetry_Int_Tables_number 225
_symmetry_space_group_name_Hall '-F 4 2 3'
_cell_length_a 5.9253
_cell_length_b 5.9253
_cell_length_c 5.9253
_cell_angle_alpha 90.00
_cell_angle_beta 90.00
_cell_angle_gamma 90.00
loop_
_atom_site_label
_atom_site_type_symbol
_atom_site_fract_x
_atom_site_fract_y
_atom_site_fract_z
_atom_site_occupancy
Cr1 Cr 0.2500 0.2500 0.2500 1
W1 W 0.0000 0.0000 0.0000 1
F1 F 0.0000 0.0000 0.5000 1
# **Electronic total energy**: -135.138 eV for the cell shown
# **Uncorrected formation energy**: 0.609 eV per atom